Entry 1:
SrMoBr2: relaxed, PBE.

The structure in POSCAR format:
```
SrMoBr2
1.0
1.9762 1.1409 9.2838
-1.9762 1.1409 9.2838
0.0000 -2.2819 9.2838
Sr Mo Br
1 1 2
Cartesian
0.0000 0.0000 0.0000
0.0000 0.0000 13.9257
0.0000 0.0000 3.2400
0.0000 0.0000 24.6114
```

Calculated values
total energy	-3.887	eV/atom
DOS(E_F)	0.637	states/eV/atom
SG	R-3m, No. 166

***

Entry 2:
Sr2MoBr: relaxed, PBE.

The structure in POSCAR format:
```
Sr2MoBr
1.0
0.0000 3.9692 3.9692
3.9692 0.0000 3.9692
3.9692 3.9692 0.0000
Sr Mo Br
2 1 1
Cartesian
0.0000 0.0000 0.0000
1.9846 1.9846 1.9846
3.9692 3.9692 3.9692
5.9538 5.9538 5.9538
```

Calculated values
total energy	-3.276	eV/atom
DOS(E_F)	0.910	states/eV/atom
SG	F-43m, No. 216

***

Entry 3:
SrMoBr: relaxed, PBE.

The structure in POSCAR format:
```
SrMoBr
1.0
3.7728 0.0000 0.0000
-1.8864 3.2673 0.0000
0.0000 0.0000 7.1097
Sr Mo Br
1 1 1
Cartesian
0.0000 0.0000 0.0000
1.8864 1.0891 4.6116
0.0000 2.1782 2.2549
```

Calculated values
total energy	-4.186	eV/atom
DOS(E_F)	0.823	states/eV/atom
SG	P3m1, No. 156

***

Entry 4:
Sr2MoBr: relaxed, PBE.

The structure in POSCAR format:
```
Sr2MoBr
1.0
-1.8762 2.7236 6.4135
1.8762 -2.7236 6.4135
1.8762 2.7236 -6.4135
Sr Mo Br
2 1 1
Cartesian
0.0000 0.0000 0.0000
0.0000 2.7236 2.7043
0.0000 0.0000 5.9641
1.8762 0.0000 2.7845
```

Calculated values
total energy	-3.676	eV/atom
DOS(E_F)	0.901	states/eV/atom
SG	Imm2, No. 44

***

Entry 5:
Sr2MoBr: relaxed, PBE.

The structure in POSCAR format:
```
Sr2MoBr
1.0
0.0000 4.0518 4.0518
4.0518 0.0000 4.0518
4.0518 4.0518 0.0000
Sr Mo Br
2 1 1
Cartesian
2.0259 2.0259 2.0259
6.0777 6.0777 6.0777
0.0000 0.0000 0.0000
4.0518 4.0518 4.0518
```

Calculated values
total energy	-3.591	eV/atom
DOS(E_F)	1.406	states/eV/atom
SG	Fm-3m, No. 225

***

Entry 6:
Sr2MoBr: relaxed, PBE.

The structure in POSCAR format:
```
Sr2MoBr
1.0
-4.2625 4.2625 4.1662
4.2625 -4.2625 4.1662
4.2625 4.2625 -4.1662
Sr Mo Br
4 2 2
Cartesian
6.3938 1.9800 -1.0415
1.9800 2.1313 1.0415
-2.1313 2.2825 3.1246
2.2825 2.1313 5.2077
4.2625 0.0000 2.0831
0.0000 0.0000 4.1662
0.0000 0.0000 0.0000
0.0000 4.2625 2.0831
```

Calculated values
total energy	-3.614	eV/atom
DOS(E_F)	1.099	states/eV/atom
SG	I-42d, No. 122

***

Entry 7:
Sr2MoBr: relaxed, PBE.

The structure in POSCAR format:
```
Sr2MoBr
1.0
6.1381 -1.9110 0.0000
6.1381 1.9110 0.0000
-0.0165 0.0000 5.3734
Sr Mo Br
2 1 1
Cartesian
0.0000 0.0000 0.0000
8.9307 0.0000 2.6937
3.2313 0.0000 0.0085
5.6483 0.0000 2.6850
```

Calculated values
total energy	-3.802	eV/atom
DOS(E_F)	0.810	states/eV/atom
SG	Cm, No. 8